An optimized crystal structure of Er6Ni2Os. Source: Alexandria via LeMat-Bulk, functional PBE-GGA.

Summary:
Calculated total energy: -211.69 eV per cell
DFT formation energy: -2.75 eV per formula unit

```
data_Er6Ni2Os
_chemical_formula_sum 'Er24 Ni8 Os4'
_symmetry_space_group_name_H-M 'I m m m'
_symmetry_Int_Tables_number 71
_symmetry_space_group_name_Hall '-I 2 2'
_cell_length_a 9.2762
_cell_length_b 9.3139
_cell_length_c 9.4763
_cell_angle_alpha 90.00
_cell_angle_beta 90.00
_cell_angle_gamma 90.00
loop_
_atom_site_label
_atom_site_type_symbol
_atom_site_fract_x
_atom_site_fract_y
_atom_site_fract_z
_atom_site_occupancy
Er1 Er 0.0000 0.1966 0.1710 1
Er2 Er 0.1754 0.2394 0.5000 1
Er3 Er 0.1848 0.5000 0.2421 1
Ni1 Ni 0.0000 0.0000 0.3796 1
Ni2 Ni 0.1561 0.0000 0.0000 1
Os1 Os 0.0000 0.5000 0.0000 1
Os2 Os 0.0000 0.5000 0.5000 1
```

***

An optimized crystal structure of Er2NiOs. Source: Alexandria via LeMat-Bulk, functional PBE-GGA.

Summary:
Polymorph energy (0 for the lowest one): 3.7 meV/atom
Calculated total energy: -27.53 eV per cell
DFT formation energy: -1.40 eV per formula unit

```
data_Er2NiOs
_chemical_formula_sum 'Er2 Ni1 Os1'
_symmetry_space_group_name_H-M 'P 4/m m m'
_symmetry_Int_Tables_number 123
_symmetry_space_group_name_Hall '-P 4 2'
_cell_length_a 3.3776
_cell_length_b 3.3776
_cell_length_c 6.6903
_cell_angle_alpha 90.00
_cell_angle_beta 90.00
_cell_angle_gamma 90.00
loop_
_atom_site_label
_atom_site_type_symbol
_atom_site_fract_x
_atom_site_fract_y
_atom_site_fract_z
_atom_site_occupancy
Er1 Er 0.0000 0.0000 0.2478 1
Ni1 Ni 0.5000 0.5000 0.5000 1
Os1 Os 0.5000 0.5000 0.0000 1
```

***

An optimized crystal structure of Er2NiOs. Source: Alexandria via LeMat-Bulk, functional PBE-GGA.

Summary:
Polymorph energy (0 for the lowest one): 0.0 meV/atom
Calculated total energy: -110.20 eV per cell
DFT formation energy: -1.41 eV per formula unit

```
data_Er2NiOs
_chemical_formula_sum 'Er8 Ni4 Os4'
_symmetry_space_group_name_H-M 'F m -3 m'
_symmetry_Int_Tables_number 225
_symmetry_space_group_name_Hall '-F 4 2 3'
_cell_length_a 6.7274
_cell_length_b 6.7274
_cell_length_c 6.7274
_cell_angle_alpha 90.00
_cell_angle_beta 90.00
_cell_angle_gamma 90.00
loop_
_atom_site_label
_atom_site_type_symbol
_atom_site_fract_x
_atom_site_fract_y
_atom_site_fract_z
_atom_site_occupancy
Er1 Er 0.2500 0.2500 0.2500 1
Ni1 Ni 0.0000 0.0000 0.0000 1
Os1 Os 0.0000 0.0000 0.5000 1
```

***

An optimized crystal structure of Er8NiOs2. Source: Alexandria via LeMat-Bulk, functional PBE-GGA.

Summary:
Calculated total energy: -134.68 eV per cell
DFT formation energy: -2.60 eV per formula unit

```
data_Er8NiOs2
_chemical_formula_sum 'Er16 Ni2 Os4'
_symmetry_space_group_name_H-M 'C 1 2/m 1'
_symmetry_Int_Tables_number 12
_cell_length_a 17.3784
_cell_length_b 4.7108
_cell_length_c 6.8737
_cell_angle_alpha 90.00
_cell_angle_beta 107.30
_cell_angle_gamma 90.00
loop_
_symmetry_equiv_pos_as_xyz
'x,y,z'
'-x,-y,-z'
'-x,y,-z'
'x,-y,z'
'x+1/2,y+1/2,z'
'-x+1/2,-y+1/2,-z'
'-x+1/2,y+1/2,-z'
'x+1/2,-y+1/2,z'
loop_
_atom_site_label
_atom_site_type_symbol
_atom_site_fract_x
_atom_site_fract_y
_atom_site_fract_z
_atom_site_occupancy
Er1 Er 0.0306 0.0000 0.2903 1
Er2 Er 0.0977 0.5000 0.9627 1
Er3 Er 0.1679 0.5000 0.4622 1
Er4 Er 0.2067 0.0000 0.8136 1
Ni1 Ni 0.0000 0.5000 0.5000 1
Os1 Os 0.1842 0.0000 0.2027 1
```

***

An optimized crystal structure of Er8Ni2Os. Source: Alexandria via LeMat-Bulk, functional PBE-GGA.

Summary:
Polymorph energy (0 for the lowest one): 0.0 meV/atom
Calculated total energy: -124.07 eV per cell
DFT formation energy: -2.74 eV per formula unit

```
data_Er8Ni2Os
_chemical_formula_sum 'Er16 Ni4 Os2'
_symmetry_space_group_name_H-M 'C 1 2/m 1'
_symmetry_Int_Tables_number 12
_cell_length_a 16.8517
_cell_length_b 4.9610
_cell_length_c 6.6161
_cell_angle_alpha 90.00
_cell_angle_beta 106.98
_cell_angle_gamma 90.00
loop_
_symmetry_equiv_pos_as_xyz
'x,y,z'
'-x,-y,-z'
'-x,y,-z'
'x,-y,z'
'x+1/2,y+1/2,z'
'-x+1/2,-y+1/2,-z'
'-x+1/2,y+1/2,-z'
'x+1/2,-y+1/2,z'
loop_
_atom_site_label
_atom_site_type_symbol
_atom_site_fract_x
_atom_site_fract_y
_atom_site_fract_z
_atom_site_occupancy
Er1 Er 0.0351 0.0000 0.2959 1
Er2 Er 0.0925 0.5000 0.9442 1
Er3 Er 0.1702 0.5000 0.4746 1
Er4 Er 0.1999 0.0000 0.8204 1
Ni1 Ni 0.1874 0.0000 0.2082 1
Os1 Os 0.0000 0.5000 0.5000 1
```

***

An optimized crystal structure of ErNiOs. Source: Alexandria via LeMat-Bulk, functional PBE-GGA.

Summary:
Polymorph energy (0 for the lowest one): 519.8 meV/atom
Calculated total energy: -84.97 eV per cell
DFT formation energy: 0.33 eV per formula unit

```
data_ErNiOs
_chemical_formula_sum 'Er4 Ni4 Os4'
_symmetry_space_group_name_H-M 'P 41 21 2'
_symmetry_Int_Tables_number 92
_cell_length_a 6.9301
_cell_length_b 6.9301
_cell_length_c 5.1889
_cell_angle_alpha 90.00
_cell_angle_beta 90.00
_cell_angle_gamma 90.00
loop_
_symmetry_equiv_pos_as_xyz
'x,y,z'
'-y+1/2,x+1/2,z+1/4'
'-x,-y,z+1/2'
'y+1/2,-x+1/2,z+3/4'
'x+1/2,-y+1/2,-z+3/4'
'-y,-x,-z+1/2'
'-x+1/2,y+1/2,-z+1/4'
'y,x,-z'
loop_
_atom_site_label
_atom_site_type_symbol
_atom_site_fract_x
_atom_site_fract_y
_atom_site_fract_z
_atom_site_occupancy
Er1 Er 0.2353 0.2353 0.0000 1
Ni1 Ni 0.2081 0.7919 0.7500 1
Os1 Os 0.0480 0.0480 0.5000 1
```

***

An optimized crystal structure of Er2NiOs. Source: Alexandria via LeMat-Bulk, functional PBE-GGA.

Summary:
Polymorph energy (0 for the lowest one): 770.9 meV/atom
Calculated total energy: -73.40 eV per cell
DFT formation energy: 1.67 eV per formula unit

```
data_Er2NiOs
_chemical_formula_sum 'Er6 Ni3 Os3'
_symmetry_space_group_name_H-M 'R -3 m'
_symmetry_Int_Tables_number 166
_symmetry_space_group_name_Hall '-R 3 2"'
_cell_length_a 3.2571
_cell_length_b 3.2571
_cell_length_c 27.6002
_cell_angle_alpha 90.00
_cell_angle_beta 90.00
_cell_angle_gamma 120.00
loop_
_atom_site_label
_atom_site_type_symbol
_atom_site_fract_x
_atom_site_fract_y
_atom_site_fract_z
_atom_site_occupancy
Er1 Er 0.0000 0.0000 0.0915 1
Ni1 Ni 0.0000 0.0000 0.0000 1
Os1 Os 0.0000 0.0000 0.5000 1
```

***

An optimized crystal structure of Er5NiOs. Source: Alexandria via LeMat-Bulk, functional PBE-GGA.

Summary:
Calculated total energy: -162.63 eV per cell
DFT formation energy: -0.83 eV per formula unit

```
data_Er5NiOs
_chemical_formula_sum 'Er20 Ni4 Os4'
_symmetry_space_group_name_H-M 'C 1 2/c 1'
_symmetry_Int_Tables_number 15
_cell_length_a 8.8708
_cell_length_b 12.7200
_cell_length_c 6.3901
_cell_angle_alpha 90.00
_cell_angle_beta 97.66
_cell_angle_gamma 90.00
loop_
_symmetry_equiv_pos_as_xyz
'x,y,z'
'-x,-y,-z'
'-x,y,-z+1/2'
'x,-y,z+1/2'
'x+1/2,y+1/2,z'
'-x+1/2,-y+1/2,-z'
'-x+1/2,y+1/2,-z+1/2'
'x+1/2,-y+1/2,z+1/2'
loop_
_atom_site_label
_atom_site_type_symbol
_atom_site_fract_x
_atom_site_fract_y
_atom_site_fract_z
_atom_site_occupancy
Er1 Er 0.0000 0.1768 0.2500 1
Er2 Er 0.1525 0.4204 0.6381 1
Er3 Er 0.1900 0.1480 0.8110 1
Ni1 Ni 0.0000 0.0000 0.0000 1
Os1 Os 0.0000 0.3946 0.2500 1
```

***

The magnetic moment results, record by record, are as follows: 0.00, 0.00, 0.00, 0.00, 0.00, 0.00, 0.00, 0.00 μB per formula unit.